1.
Fe2Ir: relaxed, GGA-PBE.

The structure in CIF format:
```
data_Fe2Ir
_chemical_formula_sum 'Fe8 Ir4'
_space_group_name_H-M_alt 'C 1 m 1'
_space_group_IT_number 8
_space_group_name_Hall 'C -2y'
_cell_length_a 9.4916
_cell_length_b 2.7026
_cell_length_c 6.0767
_cell_angle_alpha 90.00
_cell_angle_beta 104.00
_cell_angle_gamma 90.00
loop_
_atom_site_label
_atom_site_type_symbol
_atom_site_fract_x
_atom_site_fract_y
_atom_site_fract_z
_atom_site_occupancy
Fe1 Fe 0.0000 0.0000 0.0000 1
Fe2 Fe 0.0482 0.0000 0.6035 1
Fe3 Fe 0.1714 0.5000 0.3483 1
Fe4 Fe 0.3436 0.0000 0.6697 1
Ir1 Ir 0.2160 0.5000 0.9224 1
Ir2 Ir 0.3902 0.0000 0.2738 1
```

## Properties
total moment = 8.47 μB/cell
calculated formation energy = 21.2 meV per atom

***

2.
TiVB: relaxed, GGA-PBE.

The structure in CIF format:
```
data_TiVB
_chemical_formula_sum 'Ti4 V4 B4'
_space_group_name_H-M_alt 'C 1 2/m 1'
_space_group_IT_number 12
_space_group_name_Hall '-C 2y'
_cell_length_a 9.1092
_cell_length_b 3.1359
_cell_length_c 5.4372
_cell_angle_alpha 90.00
_cell_angle_beta 101.35
_cell_angle_gamma 90.00
loop_
_atom_site_label
_atom_site_type_symbol
_atom_site_fract_x
_atom_site_fract_y
_atom_site_fract_z
_atom_site_occupancy
Ti1 Ti 0.1153 0.0000 0.3542 1
V1 V 0.1231 0.5000 0.8924 1
B1 B 0.2323 0.0000 0.7497 1
```

## Properties
distance to the lowest polymorph of the same formula = 269 meV/atom
total moment = 0.00 μB/cell
calculated formation energy = -253.2 meV per atom

***

3.
SrHgRh: relaxed, GGA-PBE.

The structure in CIF format:
```
data_SrHgRh
_chemical_formula_sum 'Sr2 Hg2 Rh2'
_space_group_name_H-M_alt 'I m m 2'
_space_group_IT_number 44
_space_group_name_Hall 'I 2 -2'
_cell_length_a 3.4893
_cell_length_b 3.9071
_cell_length_c 10.5141
_cell_angle_alpha 90.00
_cell_angle_beta 90.00
_cell_angle_gamma 90.00
loop_
_atom_site_label
_atom_site_type_symbol
_atom_site_fract_x
_atom_site_fract_y
_atom_site_fract_z
_atom_site_occupancy
Sr1 Sr 0.0000 0.0000 0.0000 1
Hg1 Hg 0.0000 0.0000 0.2960 1
Rh1 Rh 0.0000 0.0000 0.6896 1
```

## Properties
total moment = 0.00 μB/cell
calculated formation energy = -162.1 meV per atom

***

4.
ScSn2H: relaxed, GGA-PBE.

The structure in CIF format:
```
data_ScSn2H
_chemical_formula_sum 'Sc1 Sn2 H1'
_space_group_name_H-M_alt 'P -6 m 2'
_space_group_IT_number 187
_space_group_name_Hall 'P -6 2'
_cell_length_a 3.4133
_cell_length_b 3.4133
_cell_length_c 7.6078
_cell_angle_alpha 90.00
_cell_angle_beta 90.00
_cell_angle_gamma 120.00
loop_
_atom_site_label
_atom_site_type_symbol
_atom_site_fract_x
_atom_site_fract_y
_atom_site_fract_z
_atom_site_occupancy
Sc1 Sc 0.0000 0.0000 0.0000 1
Sn1 Sn 0.3333 0.6667 0.3129 1
H1 H 0.6667 0.3333 0.0000 1
```

## Properties
distance to the lowest polymorph of the same formula = 0 meV/atom
total moment = 0.00 μB/cell

***

5.
Fe2NiAg: relaxed, GGA-PBE.

The structure in CIF format:
```
data_Fe2NiAg
_chemical_formula_sum 'Fe4 Ni2 Ag2'
_space_group_name_H-M_alt 'I -4 m 2'
_space_group_IT_number 119
_space_group_name_Hall 'I -4 -2'
_cell_length_a 3.8019
_cell_length_b 3.8019
_cell_length_c 7.2818
_cell_angle_alpha 90.00
_cell_angle_beta 90.00
_cell_angle_gamma 90.00
loop_
_atom_site_label
_atom_site_type_symbol
_atom_site_fract_x
_atom_site_fract_y
_atom_site_fract_z
_atom_site_occupancy
Fe1 Fe 0.0000 0.0000 0.0000 1
Fe2 Fe 0.0000 0.5000 0.2500 1
Ni1 Ni 0.0000 0.5000 0.7500 1
Ag1 Ag 0.0000 0.0000 0.5000 1
```

## Properties
distance to the lowest polymorph of the same formula = 117 meV/atom
total moment = 12.06 μB/cell
calculated formation energy = 303.0 meV per atom

***

Ρ: 13.346 4.781 9.062 6.131 8.779 (g cm⁻³)